[1]
DFT (PBE-GGA) results for a relaxed Ce6RuPt crystal.

Output
- Calculated formation energy: -272 meV/atom
- Size of the total moment: 0.6 μB/f.u.
- Space group: C2/m

Cell and atoms, written as extended XYZ:
```
8
Lattice="6.8775 -0.5948 -0.5706 2.7639 6.3939 -0.6231 2.3799 1.4361 4.2932" Properties=species:S:1:pos:R:3 pbc="T T T"
Ce 7.3615 6.0082 3.0485
Ce 3.6527 3.2519 2.9799
Ru 0.0000 0.0000 0.0000
Ce 6.5819 0.7532 2.1904
Ce 8.3687 3.9833 0.1197
Ce 5.4395 6.4820 0.9092
Ce 4.6599 1.2270 0.0510
Pt 6.0107 3.6176 1.5498
```

=====

[2]
DFT (PBE-GGA) results for a relaxed Pr3Mg3Cd2 crystal.

Output
- Calculated formation energy: -187 meV/atom
- Size of the total moment: 0.0 μB/f.u.
- Space group: R3m

Cell and atoms, written as extended XYZ:
```
8
Lattice="5.1288 0.0000 1.5457 2.3315 4.5683 1.5457 -0.0578 -0.0354 9.4738" Properties=species:S:1:pos:R:3 pbc="T T T"
Mg 5.5345 3.3890 9.4817
Cd 3.7229 2.2797 6.2108
Mg 4.6482 2.8463 3.1405
Cd 7.4555 4.5653 3.1074
Pr 2.7105 1.6598 9.5700
Pr 0.9014 0.5520 6.2909
Pr 6.5388 4.0040 6.1492
Mg 1.8573 1.1373 3.1192
```

=====

[3]
DFT (PBE-GGA) results for a relaxed Tm5In2Pb2 crystal.

Output
- Calculated formation energy: -439 meV/atom
- Size of the total moment: 0.0 μB/f.u.
- Space group: Cmce

Cell and atoms, written as extended XYZ:
```
18
Lattice="-0.9330 5.1814 6.0263 -3.5803 5.2348 -5.0552 -5.1668 -5.7854 4.1744" Properties=species:S:1:pos:R:3 pbc="T T T"
Pb -4.5129 0.7481 3.9709
Tm -2.2567 5.2081 0.4855
Tm -3.1488 3.5297 3.6221
Tm -6.4531 2.8954 5.3055
Pb -5.8365 0.7748 -1.5698
In -2.1475 6.4700 3.3742
Pb -5.1673 3.8827 1.1745
Tm -5.0838 6.9515 2.0301
In -0.8040 2.5970 1.5994
Tm -6.5313 1.1011 1.5233
Tm -4.5181 -0.5264 6.8976
Tm -4.5963 -2.3207 3.1153
Tm -5.1620 5.1573 -1.7522
Tm -3.2270 1.7355 -0.1601
Pb -2.9106 -1.3254 0.6889
In -3.7093 7.8192 -0.6283
In -2.3658 3.9462 -2.4032
Tm 0.0000 0.0000 0.0000
```